--- A ---
# GaCoPO2, optimized geometry, DFT PBE with a Hubbard U
# M_tot = 4.247 Bohr magnetons per cell
data_GaCoPO2
_chemical_formula_sum 'Ga1 Co1 P1 O2'
_space_group_name_H-M_alt 'P 4/m m m'
_space_group_IT_number 123
_space_group_name_Hall '-P 4 2'
_cell_length_a 3.648
_cell_length_b 3.648
_cell_length_c 5.788
_cell_angle_alpha 90.00
_cell_angle_beta 90.00
_cell_angle_gamma 90.00
loop_
_atom_site_label
_atom_site_type_symbol
_atom_site_fract_x
_atom_site_fract_y
_atom_site_fract_z
_atom_site_occupancy
Ga1 Ga 0.000 0.000 0.000 1
Co1 Co 0.500 0.500 0.500 1
P1 P 0.000 0.000 0.500 1
O1 O 0.000 0.500 0.000 1

--- B ---
# GaCoPO2, optimized geometry, DFT PBE with a Hubbard U
# M_tot = 2.527 Bohr magnetons per cell
data_GaCoPO2
_chemical_formula_sum 'Ga1 Co1 P1 O2'
_space_group_name_H-M_alt 'P 4/m m m'
_space_group_IT_number 123
_space_group_name_Hall '-P 4 2'
_cell_length_a 3.628
_cell_length_b 3.628
_cell_length_c 4.906
_cell_angle_alpha 90.00
_cell_angle_beta 90.00
_cell_angle_gamma 90.00
loop_
_atom_site_label
_atom_site_type_symbol
_atom_site_fract_x
_atom_site_fract_y
_atom_site_fract_z
_atom_site_occupancy
Ga1 Ga 0.000 0.000 0.000 1
Co1 Co 0.500 0.500 0.500 1
P1 P 0.500 0.500 0.000 1
O1 O 0.000 0.500 0.500 1

The energetic minimum among the shown structures is B; the next structure lies 0.126 eV/atom above.